No. 1
Material: MoSe2NCl
Method: DFT, GGA-PBE
State: optimized geometry

Unit cell a=5.090 b=5.090 c=3.389 alpha=90.00 beta=90.00 gamma=90.00
Atoms (fractional coordinates):
Mo  0.500  0.500  0.500
Cl  0.000  0.000  0.000
N  0.000  0.000  0.500
Se  0.500  0.000  0.000
Se  0.000  0.500  0.000

Calculated values
For the size of the total moment, the calculation gives 2.7 Bohr magnetons per cell. For the energy relative to the lowest polymorph listed for this composition, the calculation gives 1.3816 eV/atom. The space-group type is P4/mmm, No. 123. The raw formation energy comes out at 164 kJ/mol of atoms.

No. 2
Material: MoSe2NCl
Method: DFT, GGA-PBE
State: optimized geometry

Unit cell a=5.055 b=5.055 c=3.845 alpha=90.00 beta=90.00 gamma=90.00
Atoms (fractional coordinates):
Mo  0.000  0.000  0.000
N  0.000  0.000  0.500
Cl  0.500  0.500  0.500
Se  0.500  0.000  0.000
Se  0.000  0.500  0.000

Calculated values
For the size of the total moment, the calculation gives 1.0 Bohr magnetons per cell. For the energy relative to the lowest polymorph listed for this composition, the calculation gives 0.0000 eV/atom. The space-group type is P4/mmm, No. 123. The raw formation energy comes out at 31 kJ/mol of atoms.

No. 3
Material: MoSeN2Cl
Method: DFT, GGA-PBE
State: optimized geometry

Unit cell a=3.953 b=3.953 c=4.694 alpha=90.00 beta=90.00 gamma=90.00
Atoms (fractional coordinates):
Cl  0.000  0.000  0.000
Mo  0.500  0.500  0.500
N  0.000  0.500  0.000
Se  0.000  0.000  0.500
N  0.500  0.000  0.000

Calculated values
For the size of the total moment, the calculation gives 1.6 Bohr magnetons per cell. For the energy relative to the lowest polymorph listed for this composition, the calculation gives 1.7579 eV/atom. The space-group type is P4/mmm, No. 123. The raw formation energy comes out at 220 kJ/mol of atoms.